Below is a relaxed structure of Cs3Pb2I3Cl4, with properties calculated at the PBE level.

Summary:
uncorrected formation energy = -1582 kJ/mol of formula units

```
data_Cs3Pb2I3Cl4
_symmetry_space_group_name_H-M 'I m m 2'
_symmetry_Int_Tables_number 44
_cell_length_a 6.3625
_cell_length_b 30.4781
_cell_length_c 5.7349
_cell_angle_alpha 90.00
_cell_angle_beta 90.00
_cell_angle_gamma 90.00
loop_
_symmetry_equiv_pos_as_xyz
'x,y,z'
'-x,-y,z'
'-x,y,z'
'x,-y,z'
'x+1/2,y+1/2,z+1/2'
'-x+1/2,-y+1/2,z+1/2'
'-x+1/2,y+1/2,z+1/2'
'x+1/2,-y+1/2,z+1/2'
loop_
_atom_site_label
_atom_site_type_symbol
_atom_site_fract_x
_atom_site_fract_y
_atom_site_fract_z
_atom_site_occupancy
Cs1 Cs 0.0000 0.0000 0.0000 1
Cs2 Cs 0.0000 0.1865 0.9988 1
Pb1 Pb 0.0000 0.3890 0.0020 1
I1 I 0.0000 0.0980 0.4993 1
I2 I 0.0000 0.5000 0.0054 1
Cl1 Cl 0.0000 0.2978 0.0037 1
Cl2 Cl 0.0000 0.3825 0.5017 1
```

Below is a relaxed structure of Li3MnRh, with properties calculated at the PBE level.

Summary:
excess energy over the best structure of this formula in the dataset = 0.0 meV per atom

```
data_Li3MnRh
_symmetry_space_group_name_H-M 'P m -3 m'
_symmetry_Int_Tables_number 221
_symmetry_space_group_name_Hall '-P 4 2 3'
_cell_length_a 4.5421
_cell_length_b 4.5421
_cell_length_c 4.5421
_cell_angle_alpha 90.00
_cell_angle_beta 90.00
_cell_angle_gamma 90.00
loop_
_atom_site_label
_atom_site_type_symbol
_atom_site_fract_x
_atom_site_fract_y
_atom_site_fract_z
_atom_site_occupancy
Li1 Li 0.0000 0.0000 0.5000 1
Mn1 Mn 0.5000 0.5000 0.5000 1
Rh1 Rh 0.0000 0.0000 0.0000 1
```

Below is a relaxed structure of CaOs5, with properties calculated at the PBE level.

Summary:
excess energy over the best structure of this formula in the dataset = 0.0 meV per atom

```
data_CaOs5
_symmetry_space_group_name_H-M 'C 1 m 1'
_symmetry_Int_Tables_number 8
_cell_length_a 10.3390
_cell_length_b 2.7689
_cell_length_c 6.7823
_cell_angle_alpha 90.00
_cell_angle_beta 103.89
_cell_angle_gamma 90.00
loop_
_symmetry_equiv_pos_as_xyz
'x,y,z'
'x,-y,z'
'x+1/2,y+1/2,z'
'x+1/2,-y+1/2,z'
loop_
_atom_site_label
_atom_site_type_symbol
_atom_site_fract_x
_atom_site_fract_y
_atom_site_fract_z
_atom_site_occupancy
Ca1 Ca 0.0000 0.0000 0.0000 1
Os1 Os 0.0358 0.0000 0.5942 1
Os2 Os 0.1569 0.5000 0.3500 1
Os3 Os 0.2332 0.5000 0.9477 1
Os4 Os 0.3019 0.0000 0.6537 1
Os5 Os 0.3661 0.0000 0.2995 1
```

Below is a relaxed structure of BeTcSb2, with properties calculated at the PBE level.

Summary:
uncorrected formation energy = 40 kJ/mol of formula units

```
data_BeTcSb2
_symmetry_space_group_name_H-M 'C 1 m 1'
_symmetry_Int_Tables_number 8
_cell_length_a 7.6737
_cell_length_b 3.4351
_cell_length_c 7.4006
_cell_angle_alpha 90.00
_cell_angle_beta 121.03
_cell_angle_gamma 90.00
loop_
_symmetry_equiv_pos_as_xyz
'x,y,z'
'x,-y,z'
'x+1/2,y+1/2,z'
'x+1/2,-y+1/2,z'
loop_
_atom_site_label
_atom_site_type_symbol
_atom_site_fract_x
_atom_site_fract_y
_atom_site_fract_z
_atom_site_occupancy
Be1 Be 0.0000 0.0000 0.0000 1
Tc1 Tc 0.1999 0.5000 0.0003 1
Sb1 Sb 0.0165 0.5000 0.2686 1
Sb2 Sb 0.2493 0.0000 0.7318 1
```

Below is a relaxed structure of MgCoSe, with properties calculated at the PBE level.

Summary:
uncorrected formation energy = -28 kJ/mol of formula units
excess energy over the best structure of this formula in the dataset = 222.3 meV per atom

```
data_MgCoSe
_symmetry_space_group_name_H-M 'P 3 m 1'
_symmetry_Int_Tables_number 156
_cell_length_a 3.3406
_cell_length_b 3.3406
_cell_length_c 5.5281
_cell_angle_alpha 90.00
_cell_angle_beta 90.00
_cell_angle_gamma 120.00
loop_
_symmetry_equiv_pos_as_xyz
'x,y,z'
'-y,x-y,z'
'-x+y,-x,z'
'-y,-x,z'
'-x+y,y,z'
'x,x-y,z'
loop_
_atom_site_label
_atom_site_type_symbol
_atom_site_fract_x
_atom_site_fract_y
_atom_site_fract_z
_atom_site_occupancy
Mg1 Mg 0.0000 0.0000 0.0000 1
Co1 Co 0.3333 0.6667 0.6430 1
Se1 Se 0.6667 0.3333 0.4136 1
```

Below is a relaxed structure of K2Na7Hg2, with properties calculated at the PBE level.

Summary:
calculated total energy = -1.18 eV per atom

```
data_K2Na7Hg2
_symmetry_space_group_name_H-M 'C 1 2/m 1'
_symmetry_Int_Tables_number 12
_cell_length_a 14.8796
_cell_length_b 11.3213
_cell_length_c 5.2066
_cell_angle_alpha 90.00
_cell_angle_beta 110.45
_cell_angle_gamma 90.00
loop_
_symmetry_equiv_pos_as_xyz
'x,y,z'
'-x,-y,-z'
'-x,y,-z'
'x,-y,z'
'x+1/2,y+1/2,z'
'-x+1/2,-y+1/2,-z'
'-x+1/2,y+1/2,-z'
'x+1/2,-y+1/2,z'
loop_
_atom_site_label
_atom_site_type_symbol
_atom_site_fract_x
_atom_site_fract_y
_atom_site_fract_z
_atom_site_occupancy
K1 K 0.1332 0.0000 0.1324 1
Na1 Na 0.0000 0.5000 0.5000 1
Na2 Na 0.1428 0.2536 0.6422 1
Na3 Na 0.1569 0.5000 0.1570 1
Hg1 Hg 0.0000 0.2870 0.0000 1
```

Number 1: calculated volume 1112 Å³ per cell. Number 2: calculated volume 94 Å³ per cell. Number 3: calculated volume 188 Å³ per cell. Number 4: calculated volume 167 Å³ per cell. Number 5: calculated volume 53 Å³ per cell. Number 6: calculated volume 822 Å³ per cell.